Run P
MnIrCl2 | GGA-PBEsol | optimized geometry

```
data_MnIrCl2
_chemical_formula_sum 'Mn1 Ir1 Cl2'
_cell_length_a 4.332
_cell_length_b 4.332
_cell_length_c 3.225
_cell_angle_alpha 90.00
_cell_angle_beta 90.00
_cell_angle_gamma 90.00
_symmetry_space_group_name_H-M 'P 1'
_symmetry_Int_Tables_number 1
_symmetry_space_group_name_Hall 'P 1'
loop_
_atom_site_label
_atom_site_type_symbol
_atom_site_fract_x
_atom_site_fract_y
_atom_site_fract_z
Mn1 Mn 0.000 0.000 0.000
Ir1 Ir 0.500 0.500 0.000
Cl1 Cl 0.000 0.500 0.500
Cl2 Cl 0.500 0.000 0.500
```

Calculated values
DOS(E_F): 2.69 states/eV/cell

Run Q
MnIrCl2 | GGA-PBEsol | optimized geometry

```
data_MnIrCl2
_chemical_formula_sum 'Mn1 Ir1 Cl2'
_cell_length_a 3.326
_cell_length_b 3.447
_cell_length_c 6.885
_cell_angle_alpha 90.00
_cell_angle_beta 98.95
_cell_angle_gamma 90.00
_symmetry_space_group_name_H-M 'P 1'
_symmetry_Int_Tables_number 1
_symmetry_space_group_name_Hall 'P 1'
loop_
_atom_site_label
_atom_site_type_symbol
_atom_site_fract_x
_atom_site_fract_y
_atom_site_fract_z
Mn1 Mn 0.000 0.000 0.000
Ir1 Ir 0.458 0.500 0.870
Cl1 Cl 0.323 0.000 0.621
Cl2 Cl 0.706 0.500 0.209
```

Calculated values
DOS(E_F): 1.54 states/eV/cell

Most stable structure: run Q